# 1
Below is a relaxed La2TcIr crystal, with properties calculated at the PBE level.

Cell: 5.933 5.933 5.933 Å, 138.86 138.86 59.59°
Last column: magnetic moment on the atom in μB.
Fractional coordinates of all 4 atoms:
Ir 0.750 0.250 0.500  0.04
Tc 0.500 0.500 0.000  0.27
La 0.250 0.750 0.500  -0.01
La 0.000 0.000 0.000  0.00

Values from the calculation:
Density (g/cm³): 10.537
Size of the total moment (μB per formula unit): 0.3
Energy relative to the elements (eV per atom): 0.0779
Space-group type: I-4m2


# 2
Below is a relaxed LaTcIr2 crystal, with properties calculated at the PBE level.

Cell: 4.556 2.940 5.604 Å, 80.56 90.00 90.00°
Fractional coordinates of all 4 atoms:
Ir 0.000 0.114 0.948
Ir 0.500 0.102 0.246
La 0.000 0.541 0.460
Tc 0.500 0.744 0.846

Values from the calculation:
Density (g/cm³): 13.937
Size of the total moment (μB per formula unit): 0.0
Energy relative to the elements (eV per atom): 0.0032
Space-group type: Pm


# 3
Below is a relaxed LaTcIr4 crystal, with properties calculated at the PBE level.

Cell: 5.328 5.328 5.328 Å, 60.00 60.00 60.00°
Last column: magnetic moment on the atom in μB.
Fractional coordinates of all 6 atoms:
Ir 0.374 0.374 0.374  0.17
Ir 0.374 0.374 0.877  0.17
Ir 0.877 0.374 0.374  0.17
Ir 0.374 0.877 0.374  0.17
La 0.750 0.750 0.750  0.07
Tc 0.000 0.000 0.000  2.19

Values from the calculation:
Density (g/cm³): 15.617
Size of the total moment (μB per formula unit): 3.3
Energy relative to the elements (eV per atom): 0.0469
Space-group type: F-43m


# 4
Below is a relaxed LaTc2Ir crystal, with properties calculated at the PBE level.

Cell: 5.677 5.677 5.677 Å, 149.16 128.42 61.32°
Fractional coordinates of all 4 atoms:
Ir 0.526 0.526 0.000
Tc 0.969 0.969 0.000
Tc 0.758 0.258 0.500
La 0.246 0.746 0.500

Values from the calculation:
Density (g/cm³): 12.016
Size of the total moment (μB per formula unit): 0.0
Energy relative to the elements (eV per atom): 0.3197
Space-group type: Imm2


# 5
Below is a relaxed LaTcIr2 crystal, with properties calculated at the PBE level.

Cell: 4.674 4.674 6.213 Å, 80.27 80.27 35.69°
Fractional coordinates of all 4 atoms:
Ir 0.506 0.506 0.423
Ir 0.994 0.994 0.077
La 0.750 0.750 0.750
Tc 0.250 0.250 0.250

Values from the calculation:
Density (g/cm³): 13.241
Size of the total moment (μB per formula unit): 0.0
Energy relative to the elements (eV per atom): 0.1258
Space-group type: C2/m


# 6
Below is a relaxed LaTc2Ir crystal, with properties calculated at the PBE level.

Cell: 5.966 5.966 5.966 Å, 152.02 131.55 56.88°
Fractional coordinates of all 4 atoms:
La 0.250 0.750 0.500
Tc 0.968 0.968 0.000
Tc 0.532 0.532 0.000
Ir 0.750 0.250 0.500

Values from the calculation:
Density (g/cm³): 11.815
Size of the total moment (μB per formula unit): 0.0
Energy relative to the elements (eV per atom): 0.2936
Space-group type: Immm


# 7
Below is a relaxed LaTc2Ir crystal, with properties calculated at the PBE level.

Cell: 5.154 5.154 2.823 Å, 90.00 90.00 111.05°
Fractional coordinates of all 4 atoms:
Tc 0.500 0.500 0.000
Tc 0.000 0.000 0.000
La 0.000 0.500 0.500
Ir 0.500 0.000 0.500

Values from the calculation:
Density (g/cm³): 12.507
Size of the total moment (μB per formula unit): 0.0
Energy relative to the elements (eV per atom): 0.4625
Space-group type: Cmmm


# 8
Below is a relaxed LaTcIr crystal, with properties calculated at the PBE level.

Cell: 6.840 6.840 6.840 Å, 154.75 154.75 36.01°
Fractional coordinates of all 3 atoms:
Ir 0.024 0.024 0.000
La 0.334 0.334 0.000
Tc 0.642 0.642 0.000

Values from the calculation:
Density (g/cm³): 12.255
Size of the total moment (μB per formula unit): 0.0
Energy relative to the elements (eV per atom): 0.0530
Space-group type: I4mm